DFT (GGA-PBE) results for a geometry-optimized ReIr2Cl structure.

Structure (CIF):
```
data_ReIr2Cl
_chemical_formula_sum 'Re2 Ir4 Cl2'
_cell_length_a 5.490
_cell_length_b 8.065
_cell_length_c 2.744
_cell_angle_alpha 90.00
_cell_angle_beta 90.00
_cell_angle_gamma 90.00
_symmetry_space_group_name_H-M 'C m m m'
_symmetry_Int_Tables_number 65
_symmetry_space_group_name_Hall '-C 2 2'
loop_
_atom_site_label
_atom_site_type_symbol
_atom_site_fract_x
_atom_site_fract_y
_atom_site_fract_z
Re1 Re 0.000 0.000 0.000
Ir1 Ir 0.250 0.250 0.500
Cl1 Cl 0.000 0.500 0.000
```

Output
Formation energy without anion corrections ... 0.98 eV per atom
DOS at the Fermi energy ... 8.73 states/eV per cell
Energy above the lowest structure with this stoichiometry ... 685 meV/atom
Calculated total energy ... -56.2 eV/cell

***

DFT (GGA-PBE) results for a geometry-optimized KPuPa2O8 structure.

Structure (CIF):
```
data_KPuPa2O8
_chemical_formula_sum 'K1 Pu1 Pa2 O8'
_cell_length_a 5.251
_cell_length_b 7.139
_cell_length_c 5.254
_cell_angle_alpha 90.00
_cell_angle_beta 92.13
_cell_angle_gamma 90.00
_symmetry_space_group_name_H-M 'P 1 2/m 1'
_symmetry_Int_Tables_number 10
_symmetry_space_group_name_Hall '-P 2y'
loop_
_atom_site_label
_atom_site_type_symbol
_atom_site_fract_x
_atom_site_fract_y
_atom_site_fract_z
K1 K 0.000 0.000 0.000
Pu1 Pu 0.000 0.500 0.000
Pa1 Pa 0.500 0.251 0.500
O1 O 0.203 0.295 0.201
O2 O 0.316 0.500 0.683
O3 O 0.336 0.000 0.662
```

Output
Formation energy without anion corrections ... -3.08 eV per atom
DOS at the Fermi energy ... 6.20 states/eV per cell
Calculated total energy ... -111.0 eV/cell

***

DFT (GGA-PBE) results for a geometry-optimized TaNbO3 structure.

Structure (CIF):
```
data_TaNbO3
_chemical_formula_sum 'Ta1 Nb1 O3'
_cell_length_a 3.998
_cell_length_b 3.998
_cell_length_c 3.998
_cell_angle_alpha 90.00
_cell_angle_beta 90.00
_cell_angle_gamma 90.00
_symmetry_space_group_name_H-M 'P m -3 m'
_symmetry_Int_Tables_number 221
_symmetry_space_group_name_Hall '-P 4 2 3'
loop_
_atom_site_label
_atom_site_type_symbol
_atom_site_fract_x
_atom_site_fract_y
_atom_site_fract_z
Ta1 Ta 0.000 0.000 0.000
Nb1 Nb 0.500 0.500 0.500
O1 O 0.000 0.500 0.500
```

Output
Formation energy without anion corrections ... -1.00 eV per atom
DOS at the Fermi energy ... 3.35 states/eV per cell
Calculated total energy ... -41.8 eV/cell

***

DFT (GGA-PBE) results for a geometry-optimized KCrPt structure.

Structure (CIF):
```
data_KCrPt
_chemical_formula_sum 'K1 Cr1 Pt1'
_cell_length_a 3.1104
_cell_length_b 3.1104
_cell_length_c 7.8155
_cell_angle_alpha 90.00
_cell_angle_beta 90.00
_cell_angle_gamma 120.00
_symmetry_space_group_name_H-M 'P 3 m 1'
_symmetry_Int_Tables_number 156
_symmetry_space_group_name_Hall 'P 3 -2"'
loop_
_atom_site_label
_atom_site_type_symbol
_atom_site_fract_x
_atom_site_fract_y
_atom_site_fract_z
K1 K 0.0000 0.0000 0.0000
Cr1 Cr 0.3333 0.6667 0.5946
Pt1 Pt 0.6667 0.3333 0.3503
```

Output
DOS at the Fermi energy ... 2.14 states/eV per cell
Energy above the lowest structure with this stoichiometry ... 405 meV/atom
Calculated total energy ... -14.8 eV/cell

***

DFT (GGA-PBE) results for a geometry-optimized ErHfTlPd structure.

Structure (CIF):
```
data_ErHfTlPd
_chemical_formula_sum 'Er4 Hf4 Tl4 Pd4'
_cell_length_a 7.063
_cell_length_b 7.063
_cell_length_c 7.063
_cell_angle_alpha 90.00
_cell_angle_beta 90.00
_cell_angle_gamma 90.00
_symmetry_space_group_name_H-M 'F -4 3 m'
_symmetry_Int_Tables_number 216
_symmetry_space_group_name_Hall 'F -4 2 3'
loop_
_atom_site_label
_atom_site_type_symbol
_atom_site_fract_x
_atom_site_fract_y
_atom_site_fract_z
Er1 Er 0.000 0.000 0.000
Hf1 Hf 0.000 0.000 0.500
Tl1 Tl 0.250 0.250 0.750
Pd1 Pd 0.250 0.250 0.250
```

Output
DOS at the Fermi energy ... 14.70 states/eV per cell
Calculated total energy ... -92.9 eV/cell

***

DFT (GGA-PBE) results for a geometry-optimized CsTe2PbI structure.

Structure (CIF):
```
data_CsTe2PbI
_chemical_formula_sum 'Cs1 Te2 Pb1 I1'
_cell_length_a 6.287
_cell_length_b 6.287
_cell_length_c 6.717
_cell_angle_alpha 90.00
_cell_angle_beta 90.00
_cell_angle_gamma 90.00
_symmetry_space_group_name_H-M 'P 4/m m m'
_symmetry_Int_Tables_number 123
_symmetry_space_group_name_Hall '-P 4 2'
loop_
_atom_site_label
_atom_site_type_symbol
_atom_site_fract_x
_atom_site_fract_y
_atom_site_fract_z
Cs1 Cs 0.000 0.000 0.000
Te1 Te 0.000 0.500 0.000
Pb1 Pb 0.500 0.500 0.500
I1 I 0.000 0.000 0.500
```

Output
Formation energy without anion corrections ... 0.55 eV per atom
DOS at the Fermi energy ... 3.37 states/eV per cell
Energy above the lowest structure with this stoichiometry ... 962 meV/atom
Calculated total energy ... -9.6 eV/cell

***

DFT (GGA-PBE) results for a geometry-optimized NaLi2PuI6 structure.

Structure (CIF):
```
data_NaLi2PuI6
_chemical_formula_sum 'Na3 Li6 Pu3 I18'
_cell_length_a 7.6988
_cell_length_b 7.6988
_cell_length_c 21.4948
_cell_angle_alpha 90.00
_cell_angle_beta 90.00
_cell_angle_gamma 120.00
_symmetry_space_group_name_H-M 'R 3'
_symmetry_Int_Tables_number 146
_symmetry_space_group_name_Hall 'R 3'
loop_
_atom_site_label
_atom_site_type_symbol
_atom_site_fract_x
_atom_site_fract_y
_atom_site_fract_z
Na1 Na 0.0000 0.0000 0.0000
Li1 Li 0.0000 0.0000 0.1875
Li2 Li 0.0000 0.0000 0.6910
Pu1 Pu 0.0000 0.0000 0.5077
I1 I 0.0161 0.3392 0.7666
I2 I 0.0383 0.6980 0.2664
```

Output
Formation energy without anion corrections ... -1.13 eV per atom
DOS at the Fermi energy ... 34.99 states/eV per cell
Calculated total energy ... -120.2 eV/cell

***

DFT (GGA-PBE) results for a geometry-optimized LiBeSe structure.

Structure (CIF):
```
data_LiBeSe
_chemical_formula_sum 'Li2 Be2 Se2'
_cell_length_a 3.289
_cell_length_b 3.289
_cell_length_c 9.013
_cell_angle_alpha 90.00
_cell_angle_beta 90.00
_cell_angle_gamma 90.00
_symmetry_space_group_name_H-M 'I 4 m m'
_symmetry_Int_Tables_number 107
_symmetry_space_group_name_Hall 'I 4 -2'
loop_
_atom_site_label
_atom_site_type_symbol
_atom_site_fract_x
_atom_site_fract_y
_atom_site_fract_z
Li1 Li 0.000 0.000 0.000
Be1 Be 0.000 0.000 0.715
Se1 Se 0.000 0.000 0.288
```

Output
Formation energy without anion corrections ... -0.12 eV per atom
DOS at the Fermi energy ... 1.91 states/eV per cell
Energy above the lowest structure with this stoichiometry ... 228 meV/atom
Calculated total energy ... -19.0 eV/cell

***

DFT (GGA-PBE) results for a geometry-optimized Ac2Ni3Ge4Pt structure.

Structure (CIF):
```
data_Ac2Ni3Ge4Pt
_chemical_formula_sum 'Ac2 Ni3 Ge4 Pt1'
_cell_length_a 4.348
_cell_length_b 4.348
_cell_length_c 10.023
_cell_angle_alpha 90.00
_cell_angle_beta 90.00
_cell_angle_gamma 90.00
_symmetry_space_group_name_H-M 'P -4 m 2'
_symmetry_Int_Tables_number 115
_symmetry_space_group_name_Hall 'P -4 -2'
loop_
_atom_site_label
_atom_site_type_symbol
_atom_site_fract_x
_atom_site_fract_y
_atom_site_fract_z
Ac1 Ac 0.000 0.500 0.247
Ni1 Ni 0.000 0.500 0.881
Ni2 Ni 0.500 0.500 0.500
Ge1 Ge 0.000 0.000 0.000
Ge2 Ge 0.000 0.500 0.632
Ge3 Ge 0.500 0.500 0.000
Pt1 Pt 0.000 0.000 0.500
```

Output
DOS at the Fermi energy ... 8.50 states/eV per cell
Calculated total energy ... -57.0 eV/cell

***

DFT (GGA-PBE) results for a geometry-optimized Mg2TcAu structure.

Structure (CIF):
```
data_Mg2TcAu
_chemical_formula_sum 'Mg4 Tc2 Au2'
_cell_length_a 2.990
_cell_length_b 4.685
_cell_length_c 9.902
_cell_angle_alpha 90.00
_cell_angle_beta 90.00
_cell_angle_gamma 90.00
_symmetry_space_group_name_H-M 'I m m 2'
_symmetry_Int_Tables_number 44
_symmetry_space_group_name_Hall 'I 2 -2'
loop_
_atom_site_label
_atom_site_type_symbol
_atom_site_fract_x
_atom_site_fract_y
_atom_site_fract_z
Mg1 Mg 0.000 0.000 0.000
Mg2 Mg 0.000 0.500 0.223
Tc1 Tc 0.000 0.500 0.746
Au1 Au 0.000 0.000 0.484
```

Output
DOS at the Fermi energy ... 5.59 states/eV per cell
Energy above the lowest structure with this stoichiometry ... 114 meV/atom
Calculated total energy ... -33.3 eV/cell

***

DFT (GGA-PBE) results for a geometry-optimized YBiP2Cl structure.

Structure (CIF):
```
data_YBiP2Cl
_chemical_formula_sum 'Y1 Bi1 P2 Cl1'
_cell_length_a 5.254
_cell_length_b 5.254
_cell_length_c 5.105
_cell_angle_alpha 90.00
_cell_angle_beta 90.00
_cell_angle_gamma 90.00
_symmetry_space_group_name_H-M 'P 4/m m m'
_symmetry_Int_Tables_number 123
_symmetry_space_group_name_Hall '-P 4 2'
loop_
_atom_site_label
_atom_site_type_symbol
_atom_site_fract_x
_atom_site_fract_y
_atom_site_fract_z
Y1 Y 0.000 0.000 0.000
Bi1 Bi 0.500 0.500 0.500
P1 P 0.000 0.500 0.500
Cl1 Cl 0.500 0.500 0.000
```

Output
Formation energy without anion corrections ... 0.17 eV per atom
DOS at the Fermi energy ... 1.01 states/eV per cell
Energy above the lowest structure with this stoichiometry ... 252 meV/atom
Calculated total energy ... -22.2 eV/cell

***

DFT (GGA-PBE) results for a geometry-optimized MgAlPO2 structure.

Structure (CIF):
```
data_MgAlPO2
_chemical_formula_sum 'Mg1 Al1 P1 O2'
_cell_length_a 3.775
_cell_length_b 3.775
_cell_length_c 5.386
_cell_angle_alpha 90.00
_cell_angle_beta 90.00
_cell_angle_gamma 90.00
_symmetry_space_group_name_H-M 'P 4/m m m'
_symmetry_Int_Tables_number 123
_symmetry_space_group_name_Hall '-P 4 2'
loop_
_atom_site_label
_atom_site_type_symbol
_atom_site_fract_x
_atom_site_fract_y
_atom_site_fract_z
Mg1 Mg 0.000 0.000 0.000
Al1 Al 0.500 0.500 0.500
P1 P 0.000 0.000 0.500
O1 O 0.000 0.500 0.000
```

Output
Formation energy without anion corrections ... -0.35 eV per atom
DOS at the Fermi energy ... 3.40 states/eV per cell
Energy above the lowest structure with this stoichiometry ... 740 meV/atom
Calculated total energy ... -22.4 eV/cell